Record 1
Below is an optimized crystal structure of LiGaSnAu, with properties calculated at the PBE-GGA level. Values from VASP.

Output
Energy above the lowest structure with this stoichiometry = 0 meV/atom
Total energy = -3.2817 eV/atom

Structure (Quantum ESPRESSO input):
```
&SYSTEM
  ibrav = 0, nat = 4, ntyp = 4
/
ATOMIC_SPECIES
Ga 69.72 Ga.upf
Li 6.94 Li.upf
Sn 118.71 Sn.upf
Au 196.97 Au.upf
CELL_PARAMETERS angstrom
2.1964 0.6819 4.2047
-1.2785 -2.5962 3.8201
2.9658 -3.3462 1.7247
ATOMIC_POSITIONS crystal
Ga 0.0000 0.0000 0.0000
Li 0.7500 0.7500 0.7500
Sn 0.2500 0.2500 0.2500
Au 0.5000 0.5000 0.5000
```

=====

Record 2
Below is an optimized crystal structure of Li2GaSnAu4, with properties calculated at the PBE-GGA level. Values from VASP.

Output
Total energy = -3.4021 eV/atom

Structure (Quantum ESPRESSO input):
```
&SYSTEM
  ibrav = 0, nat = 8, ntyp = 4
/
ATOMIC_SPECIES
Li 6.94 Li.upf
Au 196.97 Au.upf
Sn 118.71 Sn.upf
Ga 69.72 Ga.upf
CELL_PARAMETERS angstrom
-0.2036 -4.4514 0.9774
4.5561 -0.1752 0.1512
-0.1600 1.4290 6.4747
ATOMIC_POSITIONS crystal
Li 0.5000 0.5000 0.0000
Li 0.0000 0.0000 0.5000
Au 0.0000 0.5000 0.2322
Au 0.5000 0.0000 0.2297
Au 0.0000 0.5000 0.7703
Au 0.5000 0.0000 0.7678
Sn 0.5000 0.5000 0.5000
Ga 0.0000 0.0000 0.0000
```

=====

Record 3
Below is an optimized crystal structure of Li4GaSnAu2, with properties calculated at the PBE-GGA level. Values from VASP.

Output
Total energy = -3.1721 eV/atom

Structure (Quantum ESPRESSO input):
```
&SYSTEM
  ibrav = 0, nat = 8, ntyp = 4
/
ATOMIC_SPECIES
Ga 69.72 Ga.upf
Li 6.94 Li.upf
Sn 118.71 Sn.upf
Au 196.97 Au.upf
CELL_PARAMETERS angstrom
4.4671 0.0000 0.0000
0.0000 4.4671 0.0000
0.0000 0.0000 6.4609
ATOMIC_POSITIONS crystal
Ga 0.0000 0.0000 0.0000
Li 0.0000 0.5000 0.2289
Li 0.0000 0.0000 0.5000
Li 0.5000 0.5000 0.0000
Li 0.5000 0.0000 0.7711
Sn 0.5000 0.5000 0.5000
Au 0.5000 0.0000 0.2308
Au 0.0000 0.5000 0.7692
```

=====

Q: What is the formula in the first record?
A: LiGaSnAu

=====

Q: What is the total energy in the third record?
A: -3.1721 eV/atom